a) Below is crystalline HfMn3Si at its relaxed geometry, with properties calculated at the PBE level.

Structure (CIF):
```
data_HfMn3Si
_chemical_formula_sum 'Hf1 Mn3 Si1'
_cell_length_a 4.7258
_cell_length_b 4.7258
_cell_length_c 4.7258
_cell_angle_alpha 90.00
_cell_angle_beta 90.00
_cell_angle_gamma 90.00
_space_group_name_H-M_alt 'P 1'
_space_group_IT_number 1
loop_
_space_group_symop_operation_xyz
'x,y,z'
loop_
_atom_site_label
_atom_site_fract_x
_atom_site_fract_y
_atom_site_fract_z
Hf1 0.0000 0.0000 0.0000
Mn1 0.0000 0.0000 0.5000
Mn2 0.0000 0.5000 0.0000
Mn3 0.5000 0.0000 0.0000
Si1 0.5000 0.5000 0.5000
```

Summary:
- SG: No. 221
- Magnetization: 1.831 μB/atom
- Fermi-level density of states: 0.61 states/eV/atom

b) Below is crystalline HfMn3Si at its relaxed geometry, with properties calculated at the PBE level.

Structure (CIF):
```
data_HfMn3Si
_chemical_formula_sum 'Hf2 Mn6 Si2'
_cell_length_a 6.0916
_cell_length_b 6.0916
_cell_length_c 4.5854
_cell_angle_alpha 90.00
_cell_angle_beta 90.00
_cell_angle_gamma 115.15
_space_group_name_H-M_alt 'P 1'
_space_group_IT_number 1
loop_
_space_group_symop_operation_xyz
'x,y,z'
loop_
_atom_site_label
_atom_site_fract_x
_atom_site_fract_y
_atom_site_fract_z
Hf1 0.0617 0.9383 0.7500
Hf2 0.9383 0.0617 0.2500
Mn1 0.0562 0.6226 0.2500
Mn2 0.3774 0.9438 0.2500
Mn3 0.5000 0.5000 0.0000
Mn4 0.5000 0.5000 0.5000
Mn5 0.6226 0.0562 0.7500
Mn6 0.9438 0.3774 0.7500
Si1 0.3047 0.6953 0.7500
Si2 0.6953 0.3047 0.2500
```

Summary:
- SG: No. 63
- Magnetization: 0.934 μB/atom
- Fermi-level density of states: 1.20 states/eV/atom

c) Below is crystalline HfMn3Si at its relaxed geometry, with properties calculated at the PBE level.

Structure (CIF):
```
data_HfMn3Si
_chemical_formula_sum 'Hf1 Mn3 Si1'
_cell_length_a 4.2603
_cell_length_b 4.2603
_cell_length_c 4.2603
_cell_angle_alpha 90.00
_cell_angle_beta 90.00
_cell_angle_gamma 90.00
_space_group_name_H-M_alt 'P 1'
_space_group_IT_number 1
loop_
_space_group_symop_operation_xyz
'x,y,z'
loop_
_atom_site_label
_atom_site_fract_x
_atom_site_fract_y
_atom_site_fract_z
Hf1 0.0000 0.0000 0.0000
Mn1 0.0000 0.5000 0.5000
Mn2 0.5000 0.0000 0.5000
Mn3 0.5000 0.5000 0.0000
Si1 0.5000 0.5000 0.5000
```

Summary:
- SG: No. 221
- Magnetization: 1.005 μB/atom
- Fermi-level density of states: 0.72 states/eV/atom

Most stable to least stable, the ends of the list are c) and a).